[1]
The following is a DFT calculation (PBE) of a relaxed TaInTc crystal.

a b c (Å): 3.329 3.329 9.715
angles (deg): 90.00 90.00 90.00
Space group I4mm (No. 107)
One atom of each set of equivalent atoms:
Ta 0.000 0.000 0.000 (multiplicity 2)
In 0.000 0.000 0.689 (multiplicity 2)
Tc 0.000 0.000 0.368 (multiplicity 2)

Calculated values
Calculated total energy in eV per atom: -8.32
Magnetization in μB per atom: 0.000
ρ in Mg/m³: 12.146
Formation energy in eV per atom: -0.001
Volume in Å³/atom: 17.9
Offset from the most stable computed form in meV per atom: 0

***

[2]
The following is a DFT calculation (PBE) of a relaxed AcPuCd2O6 crystal.

a b c (Å): 5.9140 5.9140 15.8442
angles (deg): 90.00 90.00 120.00
Space group R3 (No. 146, hexagonal axes)
One atom of each set of equivalent atoms:
Ac 0.0000 0.0000 0.0000 (multiplicity 3)
Pu 0.0000 0.0000 0.4877 (multiplicity 3)
Cd 0.0000 0.0000 0.2723 (multiplicity 3)
Cd 0.0000 0.0000 0.7854 (multiplicity 3)
O 0.0028 0.3610 0.2242 (multiplicity 9)
O 0.0129 0.7275 0.4006 (multiplicity 9)

Calculated values
Calculated total energy in eV per atom: -7.20
E_form (uncorrected) in eV per atom: -2.20
Magnetization in μB per atom: 0.300
ρ in Mg/m³: 8.219
Volume in Å³/atom: 16.0

***

[3]
The following is a DFT calculation (PBE) of a relaxed GeS2F crystal.

a b c (Å): 2.7600 2.7600 26.0307
angles (deg): 90.00 90.00 120.00
Space group R-3m (No. 166, hexagonal axes)
One atom of each set of equivalent atoms:
Ge 0.0000 0.0000 0.0000 (multiplicity 3)
S 0.0000 0.0000 0.0920 (multiplicity 6)
F 0.0000 0.0000 0.5000 (multiplicity 3)

Calculated values
Calculated total energy in eV per atom: -3.42
E_form (uncorrected) in eV per atom: 0.27
Magnetization in μB per atom: 0.000
ρ in Mg/m³: 4.519
Volume in Å³/atom: 14.3
Offset from the most stable computed form in meV per atom: 975

***

[4]
The following is a DFT calculation (PBE) of a relaxed YMgCu2Rh crystal.

a b c (Å): 4.848 4.848 4.968
angles (deg): 90.00 90.00 90.00
Space group P4/mmm (No. 123)
One atom of each set of equivalent atoms:
Y 0.000 0.000 0.000 (multiplicity 1)
Mg 0.500 0.500 0.000 (multiplicity 1)
Cu 0.000 0.500 0.500 (multiplicity 2)
Rh 0.000 0.000 0.500 (multiplicity 1)

Calculated values
Calculated total energy in eV per atom: -4.41
Magnetization in μB per atom: 0.000
ρ in Mg/m³: 4.881
Formation energy in eV per atom: 0.311
Volume in Å³/atom: 23.4

***

[5]
The following is a DFT calculation (PBE) of a relaxed TaRe2As crystal.

a b c (Å): 2.8662 2.8662 27.2810
angles (deg): 90.00 90.00 120.00
Space group R3m (No. 160, hexagonal axes)
One atom of each set of equivalent atoms:
Ta 0.0000 0.0000 0.0000 (multiplicity 3)
Re 0.0000 0.0000 0.2450 (multiplicity 3)
Re 0.0000 0.0000 0.5017 (multiplicity 3)
As 0.0000 0.0000 0.7512 (multiplicity 3)

Calculated values
Calculated total energy in eV per atom: -10.19
Magnetization in μB per atom: 0.000
ρ in Mg/m³: 16.126
Formation energy in eV per atom: 0.163
Volume in Å³/atom: 16.2